No. 1
LiTc2Rh | PBE | optimized geometry

Unit cell a=3.0239 b=3.0239 c=5.9121 alpha=90.00 beta=90.00 gamma=90.00
Last column: nearest neighbours and their distance in Å.
Fractional positions:
Li1 0.0000 0.0000 0.5086  4 Rh 2.47, 4 Tc 2.61
Rh1 0.5000 0.5000 0.7180  4 Li 2.47, 1 Tc 2.73
Tc1 0.0000 0.0000 0.0171  4 Tc 2.56, 4 Rh 2.77
Tc2 0.5000 0.5000 0.2563  4 Tc 2.56, 4 Li 2.61, 1 Rh 2.73



No. 2
Li2TcRh | PBE | optimized geometry

Unit cell a=2.6792 b=3.9717 c=5.4336 alpha=90.00 beta=90.00 gamma=90.00
Last column: nearest neighbours and their distance in Å.
Fractional positions:
Li1 0.0000 0.0000 0.0170  2 Rh 2.62-2.81, 6 Li 2.67-2.68, 4 Tc 2.91
Li2 0.5000 0.5000 0.2361  2 Tc 2.59-2.85, 6 Li 2.67-2.68, 4 Rh 2.89
Rh1 0.0000 0.0000 0.5348  4 Tc 2.58, 2 Li 2.62-2.81, 2 Rh 2.68
Tc1 0.5000 0.5000 0.7121  4 Rh 2.58, 2 Li 2.59-2.85, 2 Tc 2.68



No. 3
Li3TcRh | PBE | optimized geometry

Unit cell a=4.2525 b=4.2525 c=4.2525 alpha=90.00 beta=90.00 gamma=90.00
Last column: nearest neighbours and their distance in Å.
Fractional positions:
Rh1 0.0000 0.0000 0.0000  6 Li 2.13
Tc1 0.5000 0.5000 0.5000  12 Li 3.01
Li1 0.0000 0.5000 0.0000  2 Rh 2.13
Li2 0.0000 0.0000 0.5000  2 Rh 2.13
Li3 0.5000 0.0000 0.0000  2 Rh 2.13



No. 4
LiTcRh2 | PBE | optimized geometry

Unit cell a=4.6907 b=4.6907 c=4.5997 alpha=81.05 beta=81.05 gamma=33.73
Last column: nearest neighbours and their distance in Å.
Fractional positions:
Li1 0.2568 0.2568 0.2148  7 Rh 2.49-2.68, 2 Li 2.72, 1 Tc 2.73
Rh1 0.0083 0.0083 0.0401  3 Li 2.49-2.65, 4 Tc 2.61-2.75, 4 Rh 2.72-2.75
Rh2 0.7451 0.7451 0.7171  3 Tc 2.58-2.61, 4 Li 2.67-2.68, 4 Rh 2.72-2.75
Tc1 0.4898 0.4898 0.5280  7 Rh 2.58-2.75, 2 Tc 2.72, 1 Li 2.73



No. 5
LiTc2Rh | PBE | optimized geometry

Unit cell a=4.5902 b=4.5902 c=2.6522 alpha=90.00 beta=90.00 gamma=90.00
Last column: nearest neighbours and their distance in Å.
Fractional positions:
Li1 0.5000 0.0000 0.5000  8 Tc 2.65, 2 Li 2.65
Rh1 0.0000 0.5000 0.5000  8 Tc 2.65, 2 Rh 2.65
Tc1 0.0000 0.0000 0.0000  4 Li 2.65, 4 Rh 2.65, 2 Tc 2.65
Tc2 0.5000 0.5000 0.0000  4 Li 2.65, 4 Rh 2.65, 2 Tc 2.65



No. 6
LiTcRh2 | PBE | optimized geometry

Unit cell a=3.4341 b=4.0113 c=4.0113 alpha=90.00 beta=90.00 gamma=90.00
Last column: nearest neighbours and their distance in Å.
Fractional positions:
Li1 0.5000 0.0000 0.5000  8 Rh 2.64, 4 Tc 2.84
Rh1 0.0000 0.0000 0.0000  4 Li 2.64, 4 Tc 2.64, 4 Rh 2.84
Rh2 0.0000 0.5000 0.5000  4 Tc 2.64, 4 Li 2.64, 4 Rh 2.84
Tc1 0.5000 0.5000 0.0000  8 Rh 2.64, 4 Li 2.84



No. 7
Li2TcRh | PBE | optimized geometry

Unit cell a=4.2042 b=4.2042 c=4.2042 alpha=120.04 beta=120.04 gamma=89.93
Last column: nearest neighbours and their distance in Å.
Fractional positions:
Li1 0.0000 0.0000 0.0000  4 Tc 2.57, 4 Li 2.57
Li2 0.2500 0.7500 0.5000  4 Li 2.57, 4 Rh 2.57
Rh1 0.5000 0.5000 0.0000  4 Li 2.57, 4 Tc 2.57
Tc1 0.7500 0.2500 0.5000  4 Li 2.57, 4 Rh 2.57



No. 8
Li2TcRh | PBE | optimized geometry

Unit cell a=4.1611 b=2.6557 c=5.1993 alpha=80.72 beta=90.00 gamma=90.00
Last column: nearest neighbours and their distance in Å.
Fractional positions:
Li1 0.0000 0.9970 0.0404  6 Li 2.54-2.76, 1 Rh 2.64
Li2 0.5000 0.3570 0.2228  6 Li 2.54-2.76, 2 Rh 2.65, 2 Tc 2.69-2.78
Rh1 0.0000 0.3584 0.5371  4 Tc 2.58-2.63, 4 Li 2.64-2.85, 2 Rh 2.66
Tc1 0.5000 0.7876 0.6997  4 Rh 2.58-2.63, 2 Tc 2.66, 4 Li 2.69-2.84



No. 9
LiTcRh2 | PBE | optimized geometry

Unit cell a=4.7964 b=4.7964 c=4.7964 alpha=135.04 beta=135.04 gamma=65.47
Last column: nearest neighbours and their distance in Å.
Fractional positions:
Li1 0.7500 0.2500 0.5000  8 Rh 2.59-2.73, 4 Tc 2.73
Rh1 0.0000 0.0000 0.0000  4 Tc 2.59, 4 Li 2.73, 4 Rh 2.73
Rh2 0.2500 0.7500 0.5000  4 Li 2.59, 4 Tc 2.73, 4 Rh 2.73
Tc1 0.5000 0.5000 0.0000  8 Rh 2.59-2.73, 4 Li 2.73



No. 10
LiTcRh2 | PBE | optimized geometry

Unit cell a=4.2755 b=4.2755 c=4.2755 alpha=60.00 beta=60.00 gamma=60.00
Last column: nearest neighbours and their distance in Å.
Fractional positions:
Rh1 0.2500 0.2500 0.2500  4 Tc 2.62, 4 Li 2.62
Rh2 0.7500 0.7500 0.7500  4 Tc 2.62, 4 Li 2.62
Tc1 0.5000 0.5000 0.5000  8 Rh 2.62
Li1 0.0000 0.0000 0.0000  8 Rh 2.62



No. 11
Li2TcRh | PBE | optimized geometry

Unit cell a=4.5497 b=4.5497 c=2.5141 alpha=90.00 beta=90.00 gamma=90.00
Last column: nearest neighbours and their distance in Å.
Fractional positions:
Li1 0.0000 0.0000 0.0000  2 Li 2.51, 4 Tc 2.60, 4 Rh 2.60
Li2 0.5000 0.5000 0.0000  2 Li 2.51, 4 Tc 2.60, 4 Rh 2.60
Rh1 0.5000 0.0000 0.5000  2 Rh 2.51, 8 Li 2.60
Tc1 0.0000 0.5000 0.5000  2 Tc 2.51, 8 Li 2.60



No. 12
LiTc2Rh2 | PBE | optimized geometry

Unit cell a=3.5517 b=3.5517 c=6.8643 alpha=75.01 beta=75.01 gamma=90.00
Last column: nearest neighbours and their distance in Å.
Fractional positions:
Rh1 0.4019 0.4019 0.1962  1 Rh 2.51, 4 Tc 2.63, 4 Li 2.81
Rh2 0.5981 0.5981 0.8038  1 Rh 2.51, 4 Tc 2.63, 4 Li 2.81
Tc1 0.7500 0.2500 0.5000  4 Tc 2.51, 4 Rh 2.63
Tc2 0.2500 0.7500 0.5000  4 Tc 2.51, 4 Rh 2.63
Li1 0.0000 0.0000 0.0000  8 Rh 2.81



No. 13
LiTcRh2 | PBE | optimized geometry

Unit cell a=2.7388 b=2.7388 c=8.8459 alpha=81.30 beta=81.30 gamma=60.01
Last column: nearest neighbours and their distance in Å.
Fractional positions:
Li1 0.6666 0.6666 0.9995  6 Rh 2.72-2.74, 6 Li 2.74
Tc1 0.4999 0.4999 0.4999  6 Rh 2.65-2.66, 6 Tc 2.74
Rh1 0.0875 0.0875 0.7451  3 Tc 2.66, 3 Li 2.72-2.74, 6 Rh 2.74
Rh2 0.2459 0.2459 0.2555  3 Tc 2.65, 3 Li 2.73-2.74, 6 Rh 2.74



No. 14
LiTc2Rh | PBE | optimized geometry

Unit cell a=5.5848 b=4.9115 c=2.6666 alpha=90.00 beta=61.48 gamma=116.04
Last column: nearest neighbours and their distance in Å.
Fractional positions:
Li1 0.0000 0.5000 0.5000  2 Rh 2.45, 2 Li 2.67
Rh1 0.5000 0.5000 0.0000  2 Li 2.45, 2 Rh 2.67
Tc1 0.0000 0.0000 0.0000  4 Tc 2.45-2.67
Tc2 0.5000 0.0000 0.5000  4 Tc 2.45-2.67



No. 15
LiTcRh2 | PBE | optimized geometry

Unit cell a=5.0523 b=5.0523 c=5.0523 alpha=147.08 beta=128.95 gamma=62.09
Last column: nearest neighbours and their distance in Å.
Fractional positions:
Li1 0.2461 0.7461 0.5000  6 Rh 2.47-2.61, 2 Tc 2.58
Rh1 0.0141 0.0141 0.0000  2 Li 2.47, 4 Tc 2.61, 2 Rh 2.73
Rh2 0.7452 0.2452 0.5000  2 Tc 2.60, 4 Li 2.61, 4 Rh 2.73-2.86
Tc1 0.4946 0.4946 0.0000  2 Li 2.58, 6 Rh 2.60-2.61, 2 Tc 2.86



No. 16
LiTc2Rh | PBE | optimized geometry

Unit cell a=2.6359 b=2.6359 c=9.3282 alpha=90.00 beta=90.00 gamma=115.89
Last column: nearest neighbours and their distance in Å.
Fractional positions:
Li1 0.5000 0.5000 0.2500  6 Li 2.64-2.80, 4 Tc 2.76
Rh1 0.5000 0.5000 0.7500  6 Rh 2.64-2.80, 4 Tc 2.68
Tc1 0.0000 0.0000 0.9953  6 Tc 2.64-2.80, 2 Rh 2.68, 2 Li 2.76
Tc2 0.0000 0.0000 0.5047  6 Tc 2.64-2.80, 2 Rh 2.68, 2 Li 2.76



No. 17
Li2TcRh | PBE | optimized geometry

Unit cell a=5.3122 b=5.3122 c=5.3122 alpha=150.42 beta=130.33 gamma=58.88
Last column: nearest neighbours and their distance in Å.
Fractional positions:
Li1 0.9911 0.9911 0.0000  2 Rh 2.61, 6 Li 2.62-2.71, 2 Tc 2.75
Li2 0.5089 0.5089 0.0000  2 Rh 2.61, 6 Li 2.62-2.71, 2 Tc 2.75
Rh1 0.7500 0.2500 0.5000  4 Li 2.61, 4 Tc 2.61, 2 Rh 2.71
Tc1 0.2500 0.7500 0.5000  4 Rh 2.61, 2 Tc 2.71, 4 Li 2.75



No. 18
LiTcRh2 | PBE | optimized geometry

Unit cell a=3.6952 b=2.7294 c=6.0803 alpha=63.04 beta=90.00 gamma=90.00
Last column: nearest neighbours and their distance in Å.
Fractional positions:
Li1 0.5000 0.7500 0.7500  8 Rh 2.65-2.67, 2 Tc 2.71, 2 Li 2.73
Rh1 0.0000 0.0038 0.9975  4 Li 2.65-2.67, 4 Tc 2.67-2.68, 4 Rh 2.68-2.74
Rh2 0.0000 0.4962 0.5025  4 Li 2.65-2.67, 4 Tc 2.67-2.68, 4 Rh 2.68-2.74
Tc1 0.5000 0.2500 0.2500  8 Rh 2.67-2.68, 2 Li 2.71, 2 Tc 2.73



No. 19
Li2TcRh | PBE | optimized geometry

Unit cell a=5.0303 b=5.0303 c=2.5864 alpha=90.00 beta=90.00 gamma=121.24
Last column: nearest neighbours and their distance in Å.
Fractional positions:
Li1 0.0000 0.0000 0.0000  4 Li 2.47-2.59
Li2 0.5000 0.5000 0.0000  4 Li 2.47-2.59
Rh1 0.5000 0.0000 0.5000  2 Tc 2.47, 2 Rh 2.59
Tc1 0.0000 0.5000 0.5000  2 Rh 2.47, 2 Tc 2.59



No. 20
LiTc2Rh | PBE | optimized geometry

Unit cell a=9.3349 b=9.3349 c=9.3349 alpha=16.68 beta=16.68 gamma=16.68
Last column: nearest neighbours and their distance in Å.
Fractional positions:
Li1 0.2500 0.2500 0.2500  6 Li 2.71, 6 Tc 2.87
Rh1 0.7500 0.7500 0.7500  6 Tc 2.69, 6 Rh 2.71
Tc1 0.0040 0.0040 0.0040  3 Rh 2.69, 6 Tc 2.71, 3 Li 2.87
Tc2 0.4960 0.4960 0.4960  3 Rh 2.69, 6 Tc 2.71, 3 Li 2.87



Mass density / g/cm³: 9.39; 6.17; 4.79; 9.31; 9.09; 9.34; 6.79; 6.29; 9.50; 9.34; 6.85; 8.42; 9.12; 9.12; 9.56; 8.71; 6.37; 9.44; 6.37; 8.68
E_tot / eV/atom: -7.4378; -5.3509; -3.6050; -6.7920; -7.1525; -6.6597; -5.3410; -5.3560; -6.7251; -6.7129; -5.0203; -7.1367; -6.8571; -7.3726; -6.7039; -7.2230; -5.3057; -6.8141; -5.2276; -7.3148